# BaCaNiO3

A geometry-optimized BaCaNiO3 structure (PBE+U, Alexandria via LeMat-Bulk).

Summary:
**ρ**: 4.9 g cm⁻³
**Calculated total energy**: -0.410 Ry/atom

Cell: 6.281 6.281 5.837 Å, 90.00 90.00 124.12°
Positions (direct):
Ba1 0.224 0.776 0.750
Ba2 0.776 0.224 0.250
Ca1 0.440 0.560 0.250
Ca2 0.560 0.440 0.750
Ni1 0.057 0.943 0.250
Ni2 0.943 0.057 0.750
O1 0.229 0.229 0.000
O2 0.229 0.229 0.500
O3 0.240 0.760 0.250
O4 0.760 0.240 0.750
O5 0.771 0.771 0.000
O6 0.771 0.771 0.500